VASP calculation (PBE) on Ba3ZnIr after structural relaxation.

Computed properties:
- total magnetic moment (μB per cell) = 0.000
- ΔE_f (eV/f.u.) = -0.040
- calculated total energy (eV/atom) = -3.189
- D(E_F) (states/eV/cell) = 3.090
- distance to the lowest polymorph of the same formula (meV/atom) = 144

a b c (Å): 6.0893 6.0893 6.0893
angles (deg): 90.00 90.00 90.00
With the nearest neighbours (Å) after each atom.
Atoms (fractional coordinates):
Ba 0.0000 0.0000 0.5000  2 Ir 3.04
Ba 0.0000 0.5000 0.0000  2 Ir 3.04
Ba 0.5000 0.0000 0.0000  2 Ir 3.04
Zn 0.5000 0.5000 0.5000  12 Ba 4.31
Ir 0.0000 0.0000 0.0000  6 Ba 3.04


VASP calculation (PBE) on KInCoCl6 after structural relaxation.

Computed properties:
- E_form (uncorrected) (eV/atom) = -1.12
- total magnetic moment (μB per cell) = 3.000
- calculated total energy (eV/atom) = -3.571
- D(E_F) (states/eV/cell) = 1.234

a b c (Å): 6.5330 6.5330 6.9974
angles (deg): 90.19 90.19 120.11
With the nearest neighbours (Å) after each atom.
Atoms (fractional coordinates):
K 0.0000 0.0000 0.0000  6 Cl 3.20-3.21
In 0.6664 0.3336 0.5000  6 Cl 2.55-2.56
Co 0.3325 0.6675 0.5000  6 Cl 2.44-2.46
Cl 0.0118 0.3770 0.7033  1 Co 2.46, 1 In 2.56
Cl 0.0128 0.6333 0.2964  1 Co 2.44, 1 In 2.56
Cl 0.3667 0.9872 0.7036  1 Co 2.44, 1 In 2.56
Cl 0.3731 0.3847 0.2929  1 Co 2.46, 1 In 2.55
Cl 0.6153 0.6269 0.7071  1 Co 2.46, 1 In 2.55
Cl 0.6230 0.9882 0.2967  1 Co 2.46, 1 In 2.56


VASP calculation (PBE) on Mo2HRu after structural relaxation.

Computed properties:
- total magnetic moment (μB per cell) = 0.000
- calculated total energy (eV/atom) = -7.874
- D(E_F) (states/eV/cell) = 7.737
- distance to the lowest polymorph of the same formula (meV/atom) = 647

a b c (Å): 4.7036 4.7036 10.3003
angles (deg): 90.00 90.00 90.00
With the nearest neighbours (Å) after each atom.
Atoms (fractional coordinates):
Mo 0.1227 0.2500 0.1250  2 H 1.84
Mo 0.2500 0.6227 0.3750  2 H 1.84
Mo 0.2500 0.8773 0.8750  2 H 1.84
Mo 0.3773 0.2500 0.6250  2 H 1.84
Mo 0.6227 0.7500 0.6250  2 H 1.84
Mo 0.7500 0.1227 0.8750  2 H 1.84
Mo 0.7500 0.3773 0.3750  2 H 1.84
Mo 0.8773 0.7500 0.1250  2 H 1.84
H 0.0000 0.0000 0.0000  4 Mo 1.84
H 0.0000 0.5000 0.2500  4 Mo 1.84
H 0.5000 0.0000 0.7500  4 Mo 1.84
H 0.5000 0.5000 0.5000  4 Mo 1.84
Ru 0.0000 0.0000 0.5000  4 Mo 2.49
Ru 0.0000 0.5000 0.7500  4 Mo 2.49
Ru 0.5000 0.0000 0.2500  4 Mo 2.49
Ru 0.5000 0.5000 0.0000  4 Mo 2.49


VASP calculation (PBE) on Nd2SmTl2 after structural relaxation.

Computed properties:
- total magnetic moment (μB per cell) = 0.000
- ΔE_f (eV/f.u.) = -1.507
- calculated total energy (eV/atom) = -4.099
- D(E_F) (states/eV/cell) = 8.495
- distance to the lowest polymorph of the same formula (meV/atom) = 0

a b c (Å): 3.8580 5.5148 14.5625
angles (deg): 90.00 97.63 90.00
With the nearest neighbours (Å) after each atom.
Atoms (fractional coordinates):
Nd 0.0485 0.2500 0.0972  8 Tl 3.36-3.44
Nd 0.2374 0.2500 0.4736  2 Tl 3.30-3.31, 4 Nd 3.45
Nd 0.7626 0.7500 0.5264  2 Tl 3.30-3.31, 4 Nd 3.45
Nd 0.9515 0.7500 0.9028  8 Tl 3.36-3.44
Sm 0.1467 0.7500 0.2958  6 Tl 3.36-3.43, 2 Nd 3.77
Sm 0.8533 0.2500 0.7042  6 Tl 3.36-3.43, 2 Nd 3.77
Tl 0.3564 0.7500 0.7123  4 Nd 3.30-3.36, 4 Sm 3.36-3.37
Tl 0.4502 0.2500 0.9003  6 Nd 3.37-3.44, 2 Sm 3.42-3.43
Tl 0.5498 0.7500 0.0997  6 Nd 3.37-3.44, 2 Sm 3.42-3.43
Tl 0.6436 0.2500 0.2877  4 Nd 3.30-3.36, 4 Sm 3.36-3.37


VASP calculation (PBE) on HoTmAgHg after structural relaxation.

Computed properties:
- total magnetic moment (μB per cell) = 0.000
- ΔE_f (eV/f.u.) = -1.629
- calculated total energy (eV/atom) = -3.458
- D(E_F) (states/eV/cell) = 17.511

a b c (Å): 7.2935 7.2935 7.2935
angles (deg): 90.00 90.00 90.00
With the nearest neighbours (Å) after each atom.
Atoms (fractional coordinates):
Ho 0.0000 0.0000 0.0000  4 Hg 3.16, 4 Ag 3.16
Ho 0.0000 0.5000 0.5000  4 Hg 3.16, 4 Ag 3.16
Ho 0.5000 0.0000 0.5000  4 Hg 3.16, 4 Ag 3.16
Ho 0.5000 0.5000 0.0000  4 Hg 3.16, 4 Ag 3.16
Tm 0.0000 0.0000 0.5000  4 Hg 3.16, 4 Ag 3.16
Tm 0.0000 0.5000 0.0000  4 Hg 3.16, 4 Ag 3.16
Tm 0.5000 0.0000 0.0000  4 Hg 3.16, 4 Ag 3.16
Tm 0.5000 0.5000 0.5000  4 Hg 3.16, 4 Ag 3.16
Ag 0.2500 0.2500 0.2500  4 Ho 3.16, 4 Tm 3.16
Ag 0.2500 0.7500 0.7500  4 Ho 3.16, 4 Tm 3.16
Ag 0.7500 0.2500 0.7500  4 Ho 3.16, 4 Tm 3.16
Ag 0.7500 0.7500 0.2500  4 Ho 3.16, 4 Tm 3.16
Hg 0.2500 0.2500 0.7500  4 Ho 3.16, 4 Tm 3.16
Hg 0.2500 0.7500 0.2500  4 Ho 3.16, 4 Tm 3.16
Hg 0.7500 0.2500 0.2500  4 Ho 3.16, 4 Tm 3.16
Hg 0.7500 0.7500 0.7500  4 Tm 3.16, 4 Ho 3.16


VASP calculation (PBE) on La3SmNi8 after structural relaxation.

Computed properties:
- total magnetic moment (μB per cell) = 0.000
- ΔE_f (eV/f.u.) = -3.943
- calculated total energy (eV/atom) = -5.808
- D(E_F) (states/eV/cell) = 8.220

a b c (Å): 8.9982 8.9982 8.9982
angles (deg): 33.52 33.52 33.52
With the nearest neighbours (Å) after each atom.
Atoms (fractional coordinates):
La 0.0000 0.0000 0.0000  12 Ni 3.02-3.04, 3 Sm 3.18, 1 La 3.19
La 0.1253 0.1253 0.1253  12 Ni 3.04-3.06, 4 La 3.18-3.19
La 0.5001 0.5001 0.5001  12 Ni 3.04-3.07, 1 Sm 3.17, 3 La 3.18
Sm 0.6248 0.6248 0.6248  12 Ni 3.03-3.04, 4 La 3.17-3.18
Ni 0.0598 0.5625 0.5625  6 Ni 2.58-2.61
Ni 0.0632 0.0632 0.5642  6 Ni 2.57-2.61
Ni 0.0632 0.5642 0.0632  6 Ni 2.57-2.61
Ni 0.3122 0.3122 0.3122  6 Ni 2.57-2.59
Ni 0.5625 0.0598 0.5625  6 Ni 2.58-2.61
Ni 0.5625 0.5625 0.0598  6 Ni 2.58-2.61
Ni 0.5642 0.0632 0.0632  6 Ni 2.57-2.61
Ni 0.8126 0.8126 0.8126  6 Ni 2.61


VASP calculation (PBE) on KAlAg3 after structural relaxation.

Computed properties:
- total magnetic moment (μB per cell) = 0.000
- ΔE_f (eV/f.u.) = 0.322
- calculated total energy (eV/atom) = -2.614
- D(E_F) (states/eV/cell) = 6.854
- distance to the lowest polymorph of the same formula (meV/atom) = 47

a b c (Å): 8.8020 8.8020 6.4494
angles (deg): 99.88 99.88 69.15
With the nearest neighbours (Å) after each atom.
Atoms (fractional coordinates):
K 0.0010 0.9990 0.7500  3 K 3.22-3.48, 2 Al 3.49, 8 Ag 3.50-3.59
K 0.3496 0.6504 0.7500  8 Ag 3.37-3.66, 1 K 3.48, 6 Al 3.48-3.58
K 0.6504 0.3496 0.2500  8 Ag 3.37-3.66, 1 K 3.48, 6 Al 3.48-3.58
K 0.9990 0.0010 0.2500  3 K 3.22-3.48, 2 Al 3.49, 8 Ag 3.50-3.59
Al 0.2228 0.5833 0.1989  4 Ag 2.66-2.72, 1 Al 2.75
Al 0.4167 0.7772 0.3011  4 Ag 2.66-2.72, 1 Al 2.75
Al 0.5833 0.2228 0.6989  4 Ag 2.66-2.72, 1 Al 2.75
Al 0.7772 0.4167 0.8011  4 Ag 2.66-2.72, 1 Al 2.75
Ag 0.0303 0.3496 0.5866  1 Al 2.66, 4 Ag 2.87-2.95
Ag 0.0296 0.3531 0.1039  1 Al 2.66, 4 Ag 2.87-2.96
Ag 0.3124 0.3190 0.9036  2 Al 2.71-2.72, 4 Ag 2.87-2.90
Ag 0.3190 0.3124 0.4036  2 Al 2.71-2.72, 4 Ag 2.87-2.90
Ag 0.3496 0.0303 0.0866  1 Al 2.66, 4 Ag 2.87-2.95
Ag 0.3531 0.0296 0.6039  1 Al 2.66, 4 Ag 2.87-2.96
Ag 0.6469 0.9704 0.3961  1 Al 2.66, 4 Ag 2.87-2.96
Ag 0.6504 0.9697 0.9134  1 Al 2.66, 4 Ag 2.87-2.95
Ag 0.6810 0.6876 0.5964  2 Al 2.71-2.72, 4 Ag 2.87-2.90
Ag 0.6876 0.6810 0.0964  2 Al 2.71-2.72, 4 Ag 2.87-2.90
Ag 0.9704 0.6469 0.8961  1 Al 2.66, 4 Ag 2.87-2.96
Ag 0.9697 0.6504 0.4134  1 Al 2.66, 4 Ag 2.87-2.95


VASP calculation (PBE) on La4Bi2C after structural relaxation.

Computed properties:
- total magnetic moment (μB per cell) = 0.002
- ΔE_f (eV/f.u.) = -4.372
- calculated total energy (eV/atom) = -5.867
- D(E_F) (states/eV/cell) = 10.729
- distance to the lowest polymorph of the same formula (meV/atom) = 27

a b c (Å): 7.3378 6.9138 9.6289
angles (deg): 90.00 109.42 90.00
With the nearest neighbours (Å) after each atom.
Atoms (fractional coordinates):
La 0.0054 0.0048 0.2280  1 C 2.35
La 0.0054 0.4952 0.2280  1 C 2.35
La 0.3857 0.7500 0.5591  1 C 2.36
La 0.4243 0.7500 0.1441  1 C 2.41
La 0.5757 0.2500 0.8559  1 C 2.41
La 0.6143 0.2500 0.4409  1 C 2.36
La 0.9946 0.5048 0.7720  1 C 2.35
La 0.9946 0.9952 0.7720  1 C 2.35
Bi 0.2103 0.2500 0.5480  6 La 3.27-3.54
Bi 0.2923 0.2500 0.0734  8 La 3.41-3.59
Bi 0.7077 0.7500 0.9266  8 La 3.41-3.59
Bi 0.7897 0.7500 0.4520  6 La 3.27-3.54
C 0.2280 0.7500 0.3015  4 La 2.35-2.41
C 0.7720 0.2500 0.6985  4 La 2.35-2.41


VASP calculation (PBE) on Zr2PbCl after structural relaxation.

Computed properties:
- E_form (uncorrected) (eV/atom) = 0.27
- total magnetic moment (μB per cell) = 11.398
- calculated total energy (eV/atom) = -5.396
- D(E_F) (states/eV/cell) = 6.001
- distance to the lowest polymorph of the same formula (meV/atom) = 778

a b c (Å): 7.2885 7.2885 7.2885
angles (deg): 90.00 90.00 90.00
With the nearest neighbours (Å) after each atom.
Atoms (fractional coordinates):
Zr 0.0000 0.0000 0.0000  4 Pb 3.16, 4 Zr 3.16
Zr 0.0000 0.5000 0.5000  4 Pb 3.16, 4 Zr 3.16
Zr 0.2500 0.2500 0.2500  4 Zr 3.16, 4 Cl 3.16
Zr 0.2500 0.7500 0.7500  4 Zr 3.16, 4 Cl 3.16
Zr 0.5000 0.0000 0.5000  4 Pb 3.16, 4 Zr 3.16
Zr 0.5000 0.5000 0.0000  4 Pb 3.16, 4 Zr 3.16
Zr 0.7500 0.2500 0.7500  4 Zr 3.16, 4 Cl 3.16
Zr 0.7500 0.7500 0.2500  4 Zr 3.16, 4 Cl 3.16
Pb 0.2500 0.2500 0.7500  4 Cl 3.16, 4 Zr 3.16
Pb 0.2500 0.7500 0.2500  4 Cl 3.16, 4 Zr 3.16
Pb 0.7500 0.2500 0.2500  4 Cl 3.16, 4 Zr 3.16
Pb 0.7500 0.7500 0.7500  4 Cl 3.16, 4 Zr 3.16
Cl 0.0000 0.0000 0.5000  4 Zr 3.16, 4 Pb 3.16
Cl 0.0000 0.5000 0.0000  4 Zr 3.16, 4 Pb 3.16
Cl 0.5000 0.0000 0.0000  4 Zr 3.16, 4 Pb 3.16
Cl 0.5000 0.5000 0.5000  4 Zr 3.16, 4 Pb 3.16


VASP calculation (PBE) on AlMo2W after structural relaxation.

Computed properties:
- total magnetic moment (μB per cell) = 0.000
- ΔE_f (eV/f.u.) = -0.203
- calculated total energy (eV/atom) = -9.640
- D(E_F) (states/eV/cell) = 5.129

a b c (Å): 3.1902 4.4562 8.8074
angles (deg): 90.00 90.00 90.00
With the nearest neighbours (Å) after each atom.
Atoms (fractional coordinates):
Al 0.0000 0.0000 0.0000  4 W 2.74, 4 Mo 2.78
Al 0.5000 0.5000 0.5000  4 W 2.74, 4 Mo 2.78
Mo 0.0000 0.5000 0.2410  2 W 2.65, 4 Mo 2.74, 2 Al 2.78
Mo 0.0000 0.5000 0.7590  2 W 2.65, 4 Mo 2.74, 2 Al 2.78
Mo 0.5000 0.0000 0.2590  2 W 2.65, 4 Mo 2.74, 2 Al 2.78
Mo 0.5000 0.0000 0.7410  2 W 2.65, 4 Mo 2.74, 2 Al 2.78
W 0.0000 0.0000 0.5000  4 Mo 2.65, 4 Al 2.74
W 0.5000 0.5000 0.0000  4 Mo 2.65, 4 Al 2.74


VASP calculation (PBE) on NdHoTlAu after structural relaxation.

Computed properties:
- total magnetic moment (μB per cell) = 0.001
- ΔE_f (eV/f.u.) = -2.406
- calculated total energy (eV/atom) = -4.349
- D(E_F) (states/eV/cell) = 2.347
- distance to the lowest polymorph of the same formula (meV/atom) = 0

a b c (Å): 3.6652 3.6652 7.8581
angles (deg): 90.00 90.00 90.00
With the nearest neighbours (Å) after each atom.
Atoms (fractional coordinates):
Nd 0.0000 0.0000 0.0000  4 Au 3.31, 4 Tl 3.38, 1 Ho 3.61, 4 Nd 3.67
Ho 0.0000 0.0000 0.4600  4 Au 3.02, 4 Tl 3.32
Tl 0.5000 0.5000 0.7231  4 Ho 3.32, 4 Nd 3.38, 1 Au 3.63, 4 Tl 3.67
Au 0.5000 0.5000 0.2618  4 Ho 3.02, 4 Nd 3.31


VASP calculation (PBE) on Ba2AlFe after structural relaxation.

Computed properties:
- total magnetic moment (μB per cell) = 7.430
- ΔE_f (eV/f.u.) = 2.657
- calculated total energy (eV/atom) = -3.348
- D(E_F) (states/eV/cell) = 15.835

a b c (Å): 4.1867 4.1867 29.0010
angles (deg): 90.00 90.00 120.00
With the nearest neighbours (Å) after each atom.
Atoms (fractional coordinates):
Ba 0.0000 0.0000 0.2430  3 Fe 3.28, 3 Al 3.56
Ba 0.0000 0.0000 0.7570  3 Fe 3.28, 3 Al 3.56
Ba 0.3333 0.6667 0.4237  3 Fe 3.28, 3 Al 3.56
Ba 0.3333 0.6667 0.9097  3 Fe 3.28, 3 Al 3.56
Ba 0.6667 0.3333 0.0903  3 Fe 3.28, 3 Al 3.56
Ba 0.6667 0.3333 0.5763  3 Fe 3.28, 3 Al 3.56
Al 0.0000 0.0000 0.0000  6 Ba 3.56
Al 0.3333 0.6667 0.6667  6 Ba 3.56
Al 0.6667 0.3333 0.3333  6 Ba 3.56
Fe 0.0000 0.0000 0.5000  6 Ba 3.28
Fe 0.3333 0.6667 0.1667  6 Ba 3.28
Fe 0.6667 0.3333 0.8333  6 Ba 3.28